Entry 1:
Material: Ac8PRh3Se4
Method: DFT, GGA-PBE
State: relaxed

abc: 8.754 9.112 8.754
angles: 118.71 120.00 90.00
Fractional coordinates of all 16 atoms:
Ac (0.244, 0.724, 0.980)
Ac (0.743, 0.729, 0.486)
Ac (0.257, 0.271, 0.514)
Ac (0.265, 0.276, 0.020)
Ac (0.244, 0.724, 0.489)
Ac (0.756, 0.276, 0.511)
Ac (0.756, 0.276, 0.020)
Ac (0.735, 0.724, 0.980)
Rh (0.500, 0.500, 0.000)
Rh (0.500, 0.500, 0.500)
Rh (0.000, 0.500, 0.500)
Se (0.500, 0.000, 0.000)
Se (0.500, 0.000, 0.500)
Se (0.000, 0.000, 0.500)
Se (0.000, 0.000, 0.000)
P (0.000, 0.500, 0.000)

Output
The density of states at the Fermi level comes out at 10.0 states/eV per cell. As for the uncorrected energy: -0.2205 hartree per atom. Its formation energy without anion corrections is -1358 meV/atom.

Entry 2:
Material: ZnPd6Au5
Method: DFT, GGA-PBE
State: relaxed

abc: 4.218 7.605 7.605
angles: 111.90 106.12 106.12
Fractional coordinates of all 12 atoms:
Zn (0.000, 0.000, 0.000)
Au (0.500, 0.174, 0.826)
Au (0.000, 0.662, 0.338)
Au (0.000, 0.338, 0.662)
Au (0.500, 0.826, 0.174)
Au (0.500, 0.500, 0.500)
Pd (0.759, 0.596, 0.921)
Pd (0.241, 0.079, 0.404)
Pd (0.269, 0.769, 0.769)
Pd (0.241, 0.404, 0.079)
Pd (0.759, 0.921, 0.596)
Pd (0.731, 0.231, 0.231)

Output
The density of states at the Fermi level comes out at 8.2 states/eV per cell. As for the uncorrected energy: -0.1554 hartree per atom. The formation energy comes out at -15.5 kJ per mole of atoms.

Entry 3:
Material: LaTb3HoEr
Method: DFT, GGA-PBE
State: relaxed

abc: 5.660 10.343 7.034
angles: 90.61 90.00 105.88
Fractional coordinates of all 12 atoms:
Ho (0.945, 0.890, 0.719)
Ho (0.055, 0.110, 0.281)
Tb (0.220, 0.441, 0.242)
Tb (0.837, 0.675, 0.279)
Tb (0.780, 0.559, 0.758)
Tb (0.163, 0.325, 0.721)
Tb (0.522, 0.044, 0.731)
Tb (0.478, 0.956, 0.269)
La (0.643, 0.287, 0.023)
La (0.357, 0.713, 0.977)
Er (0.351, 0.701, 0.543)
Er (0.649, 0.299, 0.457)

Output
The density of states at the Fermi level comes out at 18.5 states/eV per cell. As for the uncorrected energy: -0.1634 hartree per atom. The formation energy comes out at 20.5 kJ per mole of atoms.

Entry 4:
Material: YZr2Mo
Method: DFT, GGA-PBE
State: relaxed

abc: 3.137 3.137 10.023
angles: 90.00 90.00 113.52
Fractional coordinates of all 4 atoms:
Zr (0.000, 0.000, 0.017)
Zr (0.500, 0.500, 0.279)
Mo (0.000, 0.000, 0.485)
Y (0.500, 0.500, 0.719)

Output
The density of states at the Fermi level comes out at 6.1 states/eV per cell. As for the uncorrected energy: -0.3071 hartree per atom. The formation energy comes out at 23.4 kJ per mole of atoms.

Entry 5:
Material: K2NiSe
Method: DFT, GGA-PBE
State: relaxed

abc: 9.505 9.505 9.505
angles: 26.92 26.92 26.92
Each line ends with the local moment (μB).
Fractional coordinates of all 4 atoms:
K (0.489, 0.489, 0.489)  0.01
K (0.011, 0.011, 0.011)  0.01
Ni (0.250, 0.250, 0.250)  1.15
Se (0.750, 0.750, 0.750)  0.37

Output
The density of states at the Fermi level comes out at 8.3 states/eV per cell. As for the uncorrected energy: -0.0943 hartree per atom. Its formation energy without anion corrections is 299 meV/atom.

Entry 6:
Material: CaTm3Se4
Method: DFT, GGA-PBE
State: relaxed

abc: 4.039 7.023 7.023
angles: 70.82 90.00 90.00
Fractional coordinates of all 8 atoms:
Se (0.500, 0.248, 0.748)
Se (0.000, 0.245, 0.255)
Se (0.500, 0.752, 0.252)
Se (0.000, 0.755, 0.745)
Tm (0.000, 0.000, 0.000)
Tm (0.000, 0.500, 0.500)
Tm (0.500, 0.000, 0.500)
Ca (0.500, 0.500, 0.000)

Output
The density of states at the Fermi level comes out at 2.8 states/eV per cell. As for the uncorrected energy: -0.1988 hartree per atom. Its formation energy without anion corrections is -1740 meV/atom.

Entry 7:
Material: MgCo2Au
Method: DFT, GGA-PBE
State: relaxed

abc: 3.647 3.647 9.790
angles: 79.27 79.27 90.00
Each line ends with the local moment (μB).
Fractional coordinates of all 8 atoms:
Au (0.000, 0.000, 0.000)  -0.01
Au (0.750, 0.250, 0.500)  -0.01
Mg (0.250, 0.750, 0.500)  -0.01
Mg (0.500, 0.500, 0.000)  -0.01
Co (0.375, 0.347, 0.750)  1.74
Co (0.097, 0.625, 0.250)  1.73
Co (0.653, 0.125, 0.250)  1.74
Co (0.875, 0.903, 0.750)  1.72

Output
The density of states at the Fermi level comes out at 6.8 states/eV per cell. As for the uncorrected energy: -0.1636 hartree per atom. The formation energy comes out at 30.8 kJ per mole of atoms.